1.
The following is a DFT calculation (PBE) of an optimized crystal structure of Nd2Mg5Cd5.

Theoretical density ... 5.50 g/cm3
Fermi-level density of states ... 0.550 states/eV/atom
Energy of formation ... -180 meV per atom
VASP energy ... -2.0202 eV/atom

Cell: 4.8090 5.9645 10.2307 Å, 90.00 90.00 90.00°
Last column: nearest neighbours and their distance in Å.
Fractional coordinates of all 12 atoms:
Nd1 0.0000 0.0000 0.0000  6 Cd 3.40-3.46, 8 Mg 3.79
Nd2 0.0000 0.5000 0.5000  6 Cd 3.37-3.44
Mg1 0.5000 0.0000 0.5000  4 Cd 2.95, 4 Mg 2.99
Mg2 0.5000 0.2496 0.2463  5 Cd 2.93-2.96, 3 Mg 2.98-2.99
Mg3 0.5000 0.2496 0.7537  5 Cd 2.93-2.96, 3 Mg 2.98-2.99
Mg4 0.5000 0.7504 0.2463  5 Cd 2.93-2.96, 3 Mg 2.98-2.99
Mg5 0.5000 0.7504 0.7537  5 Cd 2.93-2.96, 3 Mg 2.98-2.99
Cd1 0.0000 0.0000 0.3325  6 Mg 2.95-2.96
Cd2 0.0000 0.0000 0.6675  6 Mg 2.95-2.96
Cd3 0.0000 0.5000 0.1709  4 Mg 2.93, 2 Cd 2.97
Cd4 0.0000 0.5000 0.8291  4 Mg 2.93, 2 Cd 2.97
Cd5 0.5000 0.5000 0.0000  4 Mg 2.93, 4 Cd 2.97

---

2.
The following is a DFT calculation (PBE) of an optimized crystal structure of Nb4Re3Rh.

Theoretical density ... 13.00 g/cm3
Fermi-level density of states ... 0.786 states/eV/atom
Energy of formation ... -253 meV per atom
VASP energy ... -10.8746 eV/atom

Cell: 3.2329 4.5247 9.0253 Å, 90.00 90.00 90.00°
Last column: nearest neighbours and their distance in Å.
Fractional coordinates of all 8 atoms:
Nb1 0.0000 0.0000 0.0000  8 Re 2.78-2.80
Nb2 0.0000 0.0000 0.5000  4 Re 2.75, 4 Rh 2.78
Nb3 0.0000 0.5000 0.2464  6 Re 2.75-2.78, 2 Rh 2.80
Nb4 0.0000 0.5000 0.7536  6 Re 2.75-2.78, 2 Rh 2.80
Re1 0.5000 0.0000 0.2533  8 Nb 2.75-2.80
Re2 0.5000 0.0000 0.7467  8 Nb 2.75-2.80
Re3 0.5000 0.5000 0.0000  8 Nb 2.75-2.78
Rh1 0.5000 0.5000 0.5000  8 Nb 2.78-2.80

---

3.
The following is a DFT calculation (PBE) of an optimized crystal structure of Er5ScRu6.

Theoretical density ... 11.02 g/cm3
Fermi-level density of states ... 1.088 states/eV/atom
Energy of formation ... -400 meV per atom
VASP energy ... -7.4669 eV/atom

Cell: 8.1729 8.1729 4.7458 Å, 106.81 106.81 119.94°
Last column: nearest neighbours and their distance in Å.
Fractional coordinates of all 12 atoms:
Er1 0.0000 0.0000 0.0000  8 Ru 2.87-2.93
Er2 0.1669 0.8331 0.5000  8 Ru 2.90-2.91
Er3 0.3356 0.6644 0.0000  8 Ru 2.84-2.95
Er4 0.6644 0.3356 0.0000  8 Ru 2.84-2.95
Er5 0.8331 0.1669 0.5000  8 Ru 2.90-2.91
Sc1 0.5000 0.5000 0.5000  8 Ru 2.85-2.88
Ru1 0.0883 0.4169 0.2525  1 Sc 2.85, 7 Er 2.87-2.95
Ru2 0.2552 0.2552 0.7553  6 Er 2.84-2.93, 2 Sc 2.88
Ru3 0.4169 0.0883 0.2525  1 Sc 2.85, 7 Er 2.87-2.95
Ru4 0.5831 0.9117 0.7475  1 Sc 2.85, 7 Er 2.87-2.95
Ru5 0.7448 0.7448 0.2447  6 Er 2.84-2.93, 2 Sc 2.88
Ru6 0.9117 0.5831 0.7475  1 Sc 2.85, 7 Er 2.87-2.95

---

4.
The following is a DFT calculation (PBE) of an optimized crystal structure of LiMg2Pd.

Theoretical density ... 3.92 g/cm3
Fermi-level density of states ... 0.449 states/eV/atom
Energy of formation ... -344 meV per atom
VASP energy ... -2.9181 eV/atom

Cell: 4.5911 4.5911 4.5911 Å, 60.08 60.08 60.08°
Last column: nearest neighbours and their distance in Å.
Fractional coordinates of all 4 atoms:
Li1 0.0000 0.0000 0.0000  4 Pd 2.81-2.82, 4 Mg 2.81
Mg1 0.2498 0.2498 0.2498  4 Li 2.81, 4 Mg 2.81
Mg2 0.5002 0.5002 0.5002  4 Pd 2.81, 4 Mg 2.81
Pd1 0.7504 0.7504 0.7504  4 Li 2.81-2.82, 4 Mg 2.81

---

5.
The following is a DFT calculation (PBE) of an optimized crystal structure of Li3BeRe.

Theoretical density ... 5.79 g/cm3
Fermi-level density of states ... 0.317 states/eV/atom
Energy of formation ... 1214 meV per atom
VASP energy ... -3.1691 eV/atom

Cell: 3.9561 3.9561 3.9561 Å, 90.00 90.00 90.00°
Last column: nearest neighbours and their distance in Å.
Fractional coordinates of all 5 atoms:
Li1 0.0000 0.0000 0.5000  2 Be 1.98
Li2 0.0000 0.5000 0.0000  2 Be 1.98
Li3 0.5000 0.0000 0.0000  2 Be 1.98
Be1 0.0000 0.0000 0.0000  6 Li 1.98
Re1 0.5000 0.5000 0.5000  12 Li 2.80

---

6.
The following is a DFT calculation (PBE) of an optimized crystal structure of Dy2Y.

Theoretical density ... 6.93 g/cm3
Fermi-level density of states ... 2.163 states/eV/atom
Energy of formation ... 196 meV per atom
VASP energy ... -5.0264 eV/atom

Cell: 6.0151 6.0151 6.0151 Å, 146.53 123.14 67.61°
Last column: nearest neighbours and their distance in Å.
Fractional coordinates of all 3 atoms:
Dy1 0.1905 0.1905 0.0000  4 Y 3.44-3.55, 7 Dy 3.46-3.81
Dy2 0.8095 0.8095 0.0000  4 Y 3.44-3.55, 7 Dy 3.46-3.81
Y1 0.5000 0.0000 0.5000  8 Dy 3.44-3.55, 2 Y 3.46